No. 1
## Cs2BaPd (PBE-GGA)

Data for Cs2BaPd after structural relaxation.

```
Cs2BaPd
1.0
0.0000 4.5469 4.5469
4.5469 0.0000 4.5469
4.5469 4.5469 0.0000
Ba Pd Cs
1 1 2
Direct
0.5000 0.5000 0.5000
0.0000 0.0000 0.0000
0.2500 0.2500 0.2500
0.7500 0.7500 0.7500
```

Values from the calculation:
Formation energy (meV per atom): 417
VASP energy (eV/atom): -1.79

No. 2
## CaPr2Ge3Pd4 (PBE-GGA)

Data for CaPr2Ge3Pd4 after structural relaxation.

```
CaPr2Ge3Pd4
1.0
-1.4263 -1.2142 3.9349
-3.3449 -2.0873 -1.8565
6.0641 -9.1587 -0.6282
Pd Pr Ge Ca
4 2 3 1
Direct
0.5000 0.0000 0.6548
0.0000 0.0000 0.0000
0.0000 0.5000 0.3452
0.5000 0.5000 0.0000
0.0000 0.5000 0.7762
0.5000 0.0000 0.2238
0.0000 0.5000 0.1209
0.5000 0.0000 0.8791
0.0000 0.0000 0.5000
0.5000 0.5000 0.5000
```

Values from the calculation:
Formation energy (meV per atom): -782
VASP energy (eV/atom): -5.40

No. 3
## Ni8H5 (PBE-GGA)

Data for Ni8H5 after structural relaxation.

```
Ni8H5
1.0
-1.0423 -2.3578 4.4461
4.8010 0.0402 -1.8335
-1.1056 4.7704 0.7845
Ni H
8 5
Direct
0.2899 0.4584 0.2442
0.7887 0.4540 0.2428
0.2142 0.0456 0.7558
0.2113 0.5460 0.7572
0.7858 0.9544 0.2442
0.7101 0.5416 0.7558
0.2914 0.9545 0.2459
0.7086 0.0455 0.7541
0.0000 0.0000 0.0000
0.2607 0.2658 0.5264
0.7393 0.7342 0.4736
0.7546 0.2546 0.5000
0.2454 0.7454 0.5000
```

Values from the calculation:
VASP energy (eV/atom): -4.87

No. 4
## Cs2Tl2AgCl4 (PBE-GGA)

Data for Cs2Tl2AgCl4 after structural relaxation.

```
Cs2Tl2AgCl4
1.0
-1.1974 0.0894 7.1794
-1.1991 -6.5948 -2.8383
6.9382 1.5307 -1.5824
Tl Cl Ag Cs
2 4 1 2
Direct
0.0000 0.3271 0.3271
0.0000 0.6729 0.6729
0.4900 0.7450 0.7450
0.0000 0.7450 0.2550
0.5100 0.2550 0.2550
0.0000 0.2550 0.7450
0.0000 0.0000 0.0000
0.5000 0.7500 0.2500
0.5000 0.2500 0.7500
```

Values from the calculation:
Formation energy without anion corrections (eV per atom): -1.11
VASP energy (eV/atom): -2.96

No. 5
## Na3Er3TeO8 (PBE-GGA)

Data for Na3Er3TeO8 after structural relaxation.

```
Na3Er3TeO8
1.0
-4.1011 4.0512 3.5811
-2.6241 -4.4589 -4.3904
2.8626 -2.2265 5.7969
Er Na O Te
3 3 8 1
Direct
0.0000 0.5000 0.5000
0.5000 0.5000 0.5000
0.5000 0.0000 0.5000
0.0000 0.5000 0.0000
0.5000 0.5000 0.0000
0.0000 0.0000 0.0000
0.2287 0.4575 0.7017
0.2557 0.0270 0.2983
0.7443 0.9730 0.7017
0.7713 0.0270 0.2983
0.2650 0.5300 0.2952
0.2287 0.9730 0.7017
0.7713 0.5425 0.2983
0.7350 0.4700 0.7048
0.0000 0.0000 0.5000
```

Values from the calculation:
Formation energy without anion corrections (eV per atom): -2.45
VASP energy (eV/atom): -6.48

No. 6
## Hf4ZnH (PBE-GGA)

Data for Hf4ZnH after structural relaxation.

```
Hf4ZnH
1.0
-0.8867 1.2097 5.6695
-5.7289 -1.0278 -0.6797
4.2416 -6.2748 -1.0295
Hf Zn H
8 2 2
Direct
0.2943 0.6635 0.5911
0.7966 0.9276 0.5911
0.9275 0.2945 0.0910
0.0725 0.7055 0.9090
0.6635 0.7966 0.0911
0.2034 0.0724 0.4089
0.3365 0.2034 0.9089
0.7057 0.3365 0.4089
0.3750 0.6250 0.2501
0.6250 0.3750 0.7499
0.1249 0.8749 0.7498
0.8751 0.1251 0.2502
```

Values from the calculation:
VASP energy (eV/atom): -7.49

No. 7
## Tm4ScGa15 (PBE-GGA)

Data for Tm4ScGa15 after structural relaxation.

```
Tm4ScGa15
1.0
4.2199 0.0000 0.0000
0.0000 4.2199 0.0000
0.0000 0.0000 21.0125
Ga Tm Sc
15 4 1
Direct
0.0000 0.5000 0.7015
0.5000 0.5000 0.1988
0.0000 0.5000 0.0960
0.0000 0.5000 0.9040
0.5000 0.0000 0.5000
0.5000 0.5000 0.3992
0.5000 0.0000 0.9040
0.0000 0.5000 0.2985
0.5000 0.5000 0.6008
0.5000 0.0000 0.2985
0.5000 0.0000 0.0960
0.5000 0.5000 0.8012
0.5000 0.0000 0.7015
0.0000 0.5000 0.5000
0.5000 0.5000 0.0000
0.0000 0.0000 0.1970
0.0000 0.0000 0.6008
0.0000 0.0000 0.3992
0.0000 0.0000 0.8030
0.0000 0.0000 0.0000
```

Values from the calculation:
Formation energy (meV per atom): -514
VASP energy (eV/atom): -4.00

No. 8
## RbAsS2O8 (PBE-GGA)

Data for RbAsS2O8 after structural relaxation.

```
RbAsS2O8
1.0
5.4006 0.0000 0.0000
2.7003 4.6772 -0.0335
2.7003 1.6178 6.6611
S O Rb As
2 8 1 1
Direct
0.7126 0.7130 0.8618
0.2874 0.2870 0.1382
0.1087 0.5623 0.2204
0.1087 0.1079 0.2203
0.8913 0.8921 0.7797
0.6408 0.6404 0.0781
0.4370 0.8921 0.7797
0.5630 0.1079 0.2203
0.3592 0.3596 0.9219
0.8913 0.4377 0.7796
0.5000 0.5000 0.5000
0.0000 0.0000 0.0000
```

Values from the calculation:
Formation energy without anion corrections (eV per atom): -1.33
VASP energy (eV/atom): -5.80